Record 1
BaTiO3 | SCAN | PBEsol geometry

abc: 5.737 5.737 9.441
angles: 90.00 90.00 120.00
Atoms (fractional coordinates):
Ba: 0.000 0.000 0.000
Ba: 0.000 0.000 0.500
Ba: 0.333 0.667 0.250
Ba: 0.667 0.333 0.750
Ti: 0.333 0.667 0.611
Ti: 0.333 0.667 0.889
Ti: 0.667 0.333 0.111
Ti: 0.667 0.333 0.389
O: 0.000 0.500 0.000
O: 0.000 0.500 0.500
O: 0.184 0.368 0.750
O: 0.184 0.816 0.750
O: 0.368 0.184 0.250
O: 0.500 0.000 0.000
O: 0.500 0.000 0.500
O: 0.500 0.500 0.000
O: 0.500 0.500 0.500
O: 0.632 0.816 0.750
O: 0.816 0.184 0.250
O: 0.816 0.632 0.250

Results
Its space-group type is P6_3/mmc. The uncorrected formation energy is -3.364 eV per atom.

---

Record 2
Ba3Ti20O40 | SCAN | PBEsol geometry

abc: 10.200 10.200 9.919
angles: 118.34 118.34 92.51
Atoms (fractional coordinates):
Ba: 0.000 0.000 0.000
Ba: 0.368 0.632 0.000
Ba: 0.632 0.368 0.000
Ti: 0.058 0.657 0.536
Ti: 0.065 0.262 0.817
Ti: 0.127 0.528 0.180
Ti: 0.152 0.152 0.490
Ti: 0.254 0.451 0.520
Ti: 0.262 0.065 0.817
Ti: 0.343 0.343 0.183
Ti: 0.343 0.942 0.464
Ti: 0.451 0.254 0.520
Ti: 0.472 0.873 0.820
Ti: 0.528 0.127 0.180
Ti: 0.549 0.746 0.480
Ti: 0.657 0.058 0.536
Ti: 0.657 0.657 0.817
Ti: 0.738 0.935 0.183
Ti: 0.746 0.549 0.480
Ti: 0.848 0.848 0.510
Ti: 0.873 0.472 0.820
Ti: 0.935 0.738 0.183
Ti: 0.942 0.343 0.464
O: 0.038 0.038 0.721
O: 0.054 0.258 0.615
O: 0.062 0.258 0.354
O: 0.097 0.497 0.946
O: 0.108 0.302 0.055
O: 0.140 0.540 0.647
O: 0.148 0.549 0.390
O: 0.158 0.756 0.282
O: 0.244 0.842 0.718
O: 0.258 0.054 0.615
O: 0.258 0.062 0.354
O: 0.301 0.301 0.945
O: 0.302 0.108 0.055
O: 0.345 0.345 0.656
O: 0.348 0.348 0.384
O: 0.356 0.563 0.274
O: 0.437 0.644 0.726
O: 0.451 0.852 0.610
O: 0.460 0.860 0.353
O: 0.497 0.097 0.946
O: 0.503 0.903 0.054
O: 0.540 0.140 0.647
O: 0.549 0.148 0.390
O: 0.563 0.356 0.274
O: 0.644 0.437 0.726
O: 0.652 0.652 0.616
O: 0.655 0.655 0.344
O: 0.698 0.892 0.945
O: 0.699 0.699 0.055
O: 0.742 0.938 0.646
O: 0.742 0.946 0.385
O: 0.756 0.158 0.282
O: 0.842 0.244 0.718
O: 0.852 0.451 0.610
O: 0.860 0.460 0.353
O: 0.892 0.698 0.945
O: 0.903 0.503 0.054
O: 0.938 0.742 0.646
O: 0.946 0.742 0.385
O: 0.962 0.962 0.279

Results
Its space-group type is C2/m. The uncorrected formation energy is -3.339 eV per atom.

---

Record 3
Ba4Ti11O26 | SCAN | PBEsol geometry

abc: 7.773 7.815 9.911
angles: 76.33 66.98 75.73
Atoms (fractional coordinates):
Ba: 0.000 0.000 0.000
Ba: 0.210 0.203 0.465
Ba: 0.492 0.987 0.996
Ba: 0.715 0.210 0.454
Ti: 0.104 0.353 0.135
Ti: 0.114 0.872 0.320
Ti: 0.236 0.457 0.803
Ti: 0.365 0.587 0.465
Ti: 0.457 0.779 0.683
Ti: 0.578 0.357 0.129
Ti: 0.613 0.876 0.327
Ti: 0.721 0.457 0.801
Ti: 0.839 0.616 0.010
Ti: 0.863 0.587 0.466
Ti: 0.963 0.774 0.675
O: 0.070 0.120 0.247
O: 0.096 0.638 0.478
O: 0.097 0.576 0.992
O: 0.216 0.805 0.150
O: 0.217 0.255 0.941
O: 0.234 0.713 0.664
O: 0.335 0.380 0.616
O: 0.341 0.324 0.148
O: 0.353 0.909 0.820
O: 0.361 0.841 0.350
O: 0.463 0.449 0.320
O: 0.471 0.514 0.788
O: 0.496 0.962 0.519
O: 0.603 0.621 0.469
O: 0.612 0.576 0.992
O: 0.622 0.106 0.232
O: 0.704 0.254 0.938
O: 0.728 0.769 0.149
O: 0.733 0.712 0.666
O: 0.833 0.380 0.130
O: 0.847 0.377 0.617
O: 0.856 0.844 0.857
O: 0.857 0.834 0.354
O: 0.963 0.511 0.807
O: 0.976 0.975 0.544
O: 0.980 0.455 0.319

Results
Its space-group type is P1. The uncorrected formation energy is -3.361 eV per atom.

---

Record 4
Ba2Ti11O24 | SCAN | PBEsol geometry

abc: 7.113 7.412 8.878
angles: 77.82 77.58 84.62
Atoms (fractional coordinates):
Ba: 0.000 0.000 0.000
Ba: 0.018 0.029 0.426
Ti: 0.207 0.561 0.744
Ti: 0.214 0.560 0.409
Ti: 0.222 0.536 0.081
Ti: 0.502 0.202 0.593
Ti: 0.503 0.182 0.935
Ti: 0.524 0.187 0.253
Ti: 0.536 0.835 0.826
Ti: 0.538 0.838 0.470
Ti: 0.829 0.508 0.313
Ti: 0.830 0.501 0.992
Ti: 0.845 0.474 0.658
O: 0.048 0.659 0.920
O: 0.048 0.665 0.591
O: 0.056 0.668 0.252
O: 0.325 0.413 0.584
O: 0.331 0.413 0.912
O: 0.345 0.425 0.251
O: 0.351 0.748 0.001
O: 0.358 0.759 0.378
O: 0.364 0.108 0.139
O: 0.366 0.083 0.805
O: 0.375 0.088 0.462
O: 0.379 0.747 0.685
O: 0.652 0.301 0.713
O: 0.656 0.965 0.606
O: 0.664 0.302 0.390
O: 0.672 0.972 0.916
O: 0.674 0.285 0.045
O: 0.694 0.981 0.288
O: 0.708 0.623 0.820
O: 0.714 0.623 0.150
O: 0.715 0.634 0.485
O: 0.986 0.371 0.815
O: 0.989 0.373 0.152
O: 0.989 0.379 0.482

Results
Its space-group type is P1. The uncorrected formation energy is -3.335 eV per atom.

---

Question: Which formula does entry 2 have?
Answer: Ba3Ti20O40